Entry 1:
This record from the Alexandria database describes an optimized crystal structure of ZrScIr2. The functional is GGA-PBEsol.

```
ZrScIr2
1.0
3.105 0.000 0.000
0.000 3.462 0.000
0.000 0.000 6.248
Zr Sc Ir
1 1 2
direct
0.000 0.000 0.000
0.000 0.000 0.500
0.500 0.500 0.251
0.500 0.500 0.749
```

Magnetic moment, Bohr magnetons per cell: 0.000
Volume, A^3/atom: 16.8
Total energy, eV per atom: -9.739
ρ, g/cm3: 12.873



Entry 2:
This record from the Alexandria database describes an optimized crystal structure of Zr2ScIr. The functional is GGA-PBEsol.

```
Zr2ScIr
1.0
-1.688 2.378 4.845
1.688 -2.378 4.845
1.688 2.378 -4.845
Zr Sc Ir
2 1 1
direct
0.222 0.222 0.000
0.778 0.778 0.000
0.500 0.000 0.500
0.000 0.500 0.500
```

Magnetic moment, Bohr magnetons per cell: 0.000
Volume, A^3/atom: 19.4
Relative energy among the computed polymorphs, meV per atom: 0
ρ, g/cm3: 8.959



Entry 3:
This record from the Alexandria database describes an optimized crystal structure of Zr2ScIr. The functional is GGA-PBEsol.

```
Zr2ScIr
1.0
3.109 0.000 0.000
0.000 4.500 0.000
-1.565 0.000 5.481
Zr Sc Ir
2 1 1
direct
0.211 0.000 0.270
0.789 0.000 0.730
0.500 0.500 0.000
0.000 0.500 0.500
```

Magnetic moment, Bohr magnetons per cell: 0.000
Volume, A^3/atom: 19.2
Relative energy among the computed polymorphs, meV per atom: 146
ρ, g/cm3: 9.087



Entry 4:
This record from the Alexandria database describes an optimized crystal structure of ZrSc2Ir. The functional is GGA-PBEsol.

```
ZrSc2Ir
1.0
-1.681 2.377 4.889
1.681 -2.377 4.889
1.681 2.377 -4.889
Zr Sc Ir
1 2 1
direct
0.000 0.000 0.000
0.426 0.426 0.000
0.715 0.215 0.500
0.212 0.712 0.500
```

Magnetic moment, Bohr magnetons per cell: 0.000
Volume, A^3/atom: 19.5
Relative energy among the computed polymorphs, meV per atom: 0
ρ, g/cm3: 7.931



Entry 5:
This record from the Alexandria database describes an optimized crystal structure of Zr2ScIr. The functional is GGA-PBEsol.

```
Zr2ScIr
1.0
3.255 0.000 0.000
0.000 3.255 0.000
0.000 0.000 7.378
Zr Sc Ir
2 1 1
direct
0.000 0.000 0.000
0.500 0.500 0.278
0.500 0.500 0.708
0.000 0.000 0.492
```

Magnetic moment, Bohr magnetons per cell: 0.002
Volume, A^3/atom: 19.5
Relative energy among the computed polymorphs, meV per atom: 40
ρ, g/cm3: 8.916



Entry 6:
This record from the Alexandria database describes an optimized crystal structure of ZrSc2Ir. The functional is GGA-PBEsol.

```
ZrSc2Ir
1.0
-1.664 2.349 4.959
1.664 -2.349 4.959
1.664 2.349 -4.959
Zr Sc Ir
1 2 1
direct
0.000 0.000 0.000
0.285 0.785 0.500
0.715 0.215 0.500
0.500 0.500 0.000
```

Magnetic moment, Bohr magnetons per cell: 0.000
Volume, A^3/atom: 19.4
Relative energy among the computed polymorphs, meV per atom: 8
ρ, g/cm3: 7.994